w.
Entry from the Alexandria database: AgPBrCl2 after structural relaxation (GGA-PBE).

The calculation puts the calculated volume at 138.46 Å³/cell. For the total magnetic moment, the calculation gives 1.922 μB/f.u. Its crystal system is tetragonal. The density of states at the Fermi level is 0.528 states/eV/atom. As for the space group: No. 123.

abc: 4.821 5.957 4.821
angles: 90.00 90.00 90.00
Sites, in units of the cell vectors:
P 0.500 0.500 0.500
Cl 0.000 0.000 0.500
Cl 0.500 0.000 0.000
Ag 0.000 0.000 0.000
Br 0.000 0.500 0.000

---

x.
Entry from the Alexandria database: AgPBrCl2 after structural relaxation (GGA-PBE).

The calculation puts the calculated volume at 159.70 Å³/cell. For the total magnetic moment, the calculation gives 0.410 μB/f.u. Its crystal system is tetragonal. The density of states at the Fermi level is 0.497 states/eV/atom. As for the space group: No. 123.

abc: 5.909 5.909 4.574
angles: 90.00 90.00 90.00
Sites, in units of the cell vectors:
Br 0.000 0.000 0.000
P 0.000 0.000 0.500
Cl 0.500 0.000 0.000
Cl 0.000 0.500 0.000
Ag 0.500 0.500 0.500

---

The structure with the most favorable energy is w; the runner-up is 305 meV/atom above it.

---

w.
Entry from the Alexandria database: Co3AgBr after structural relaxation (GGA-PBE).

The calculation puts the calculated volume at 81.86 Å³/cell. For the total magnetic moment, the calculation gives 3.008 μB/f.u. Its crystal system is cubic. The density of states at the Fermi level is 1.790 states/eV/atom. As for the space group: No. 221.

abc: 4.342 4.342 4.342
angles: 90.00 90.00 90.00
Sites, in units of the cell vectors:
Co 0.500 0.000 0.000
Co 0.000 0.000 0.500
Co 0.000 0.500 0.000
Ag 0.500 0.500 0.500
Br 0.000 0.000 0.000

---

x.
Entry from the Alexandria database: Co3AgBr after structural relaxation (GGA-PBE).

The calculation puts the calculated volume at 110.11 Å³/cell. For the total magnetic moment, the calculation gives 5.923 μB/f.u. Its crystal system is cubic. The density of states at the Fermi level is 3.996 states/eV/atom. As for the space group: No. 221.

abc: 4.793 4.793 4.793
angles: 90.00 90.00 90.00
Sites, in units of the cell vectors:
Co 0.500 0.000 0.000
Co 0.000 0.500 0.000
Co 0.000 0.000 0.500
Ag 0.000 0.000 0.000
Br 0.500 0.500 0.500

---

The structure with the most favorable energy is w; the runner-up is 497 meV/atom above it.

---

w.
Entry from the Alexandria database: CoAgBr after structural relaxation (GGA-PBE).

The calculation puts the calculated volume at 60.88 Å³/cell. For the total magnetic moment, the calculation gives 2.225 μB/f.u. Its crystal system is tetragonal. The density of states at the Fermi level is 0.904 states/eV/atom. As for the space group: No. 107.

abc: 6.681 6.681 6.681
angles: 153.12 153.12 38.38
Sites, in units of the cell vectors:
Co 0.676 0.676 0.000
Br 0.287 0.287 0.000
Ag 0.037 0.037 0.000

---

x.
Entry from the Alexandria database: CoAgBr after structural relaxation (GGA-PBE).

The calculation puts the calculated volume at 58.98 Å³/cell. For the total magnetic moment, the calculation gives 1.467 μB/f.u. Its crystal system is cubic. The density of states at the Fermi level is 1.752 states/eV/atom. As for the space group: No. 216.

abc: 4.369 4.369 4.369
angles: 60.00 60.00 60.00
Sites, in units of the cell vectors:
Ag 0.000 0.000 0.000
Br 0.500 0.500 0.500
Co 0.250 0.250 0.250

---

y.
Entry from the Alexandria database: CoAgBr after structural relaxation (GGA-PBE).

The calculation puts the calculated volume at 55.35 Å³/cell. For the total magnetic moment, the calculation gives 1.341 μB/f.u. Its crystal system is hexagonal. The density of states at the Fermi level is 1.531 states/eV/atom. As for the space group: No. 187.

abc: 4.186 4.186 3.647
angles: 90.00 90.00 120.00
Sites, in units of the cell vectors:
Ag 0.000 0.000 0.000
Br 0.667 0.333 0.500
Co 0.333 0.667 0.500

---

The structure with the most favorable energy is w; the runner-up is 152 meV/atom above it.

---

w.
Entry from the Alexandria database: Co2AgBr after structural relaxation (GGA-PBE).

The calculation puts the calculated volume at 67.92 Å³/cell. For the total magnetic moment, the calculation gives 3.712 μB/f.u. Its crystal system is tetragonal. The density of states at the Fermi level is 1.033 states/eV/atom. As for the space group: No. 99.

abc: 3.152 3.149 6.842
angles: 90.00 90.00 90.00
Sites, in units of the cell vectors:
Br 0.500 0.500 0.814
Co 0.000 0.000 0.048
Co 0.500 0.500 0.198
Ag 0.000 0.000 0.440

---

x.
Entry from the Alexandria database: Co2AgBr after structural relaxation (GGA-PBE).

The calculation puts the calculated volume at 71.09 Å³/cell. For the total magnetic moment, the calculation gives 3.604 μB/f.u. Its crystal system is trigonal. The density of states at the Fermi level is 0.595 states/eV/atom. As for the space group: No. 160.

abc: 7.218 7.218 7.218
angles: 27.57 27.57 27.57
Sites, in units of the cell vectors:
Ag 0.516 0.516 0.516
Co 0.984 0.984 0.984
Co 0.266 0.266 0.266
Br 0.734 0.734 0.734

---

The structure with the most favorable energy is x; the runner-up is 5 meV/atom above it.